LaRuW4: optimized geometry, GGA-PBE.

Summary:
D(E_F) = 24.89 states/eV/cell
uncorrected energy = -62.367 eV per formula unit
volume = 454.4 Å³ per cell
energy relative to the elements = 608 meV per atom
crystal system = cubic

CIF file:
```
data_LaRuW4
_chemical_formula_sum 'La4 Ru4 W16'
_cell_length_a 7.688
_cell_length_b 7.688
_cell_length_c 7.688
_cell_angle_alpha 90.00
_cell_angle_beta 90.00
_cell_angle_gamma 90.00
_space_group_name_H-M_alt 'F -4 3 m'
_space_group_IT_number 216
_space_group_name_Hall 'F -4 2 3'
loop_
_atom_site_label
_atom_site_type_symbol
_atom_site_fract_x
_atom_site_fract_y
_atom_site_fract_z
La1 La 0.000 0.000 0.000
Ru1 Ru 0.250 0.250 0.750
W1 W 0.125 0.125 0.375
```